A:
Compound: Y2AlTe
Source: Alexandria via LeMat-Bulk
Functional: GGA-PBE
Structure: relaxed

Lattice parameters (Å, degrees): 4.419 23.532 4.202 90.00 90.00 90.00
Space group Cmcm (No. 63)
Inequivalent atoms, fractional coordinates:
Y 0.000 0.063 0.250
Y 0.000 0.332 0.250
Al 0.000 0.463 0.250
Te 0.000 0.195 0.250

B:
Compound: Y2AlTe
Source: Alexandria via LeMat-Bulk
Functional: GGA-PBE
Structure: relaxed

Lattice parameters (Å, degrees): 4.315 4.452 10.755 90.00 90.00 90.00
Space group Imm2 (No. 44)
Inequivalent atoms, fractional coordinates:
Y 0.000 0.000 0.000
Y 0.000 0.500 0.248
Al 0.000 0.500 0.752
Te 0.000 0.000 0.499

C:
Compound: Y2AlTe
Source: Alexandria via LeMat-Bulk
Functional: GGA-PBE
Structure: relaxed

Lattice parameters (Å, degrees): 3.755 3.751 7.389 90.00 92.97 90.00
Space group P2/m (No. 10)
Inequivalent atoms, fractional coordinates:
Y 0.005 0.000 0.256
Al 0.500 0.500 0.500
Te 0.500 0.500 0.000

Which one is most stable, and which one is least stable? A is the most stable of them, while B is the least stable.

A:
Compound: Y2AlTe
Source: Alexandria via LeMat-Bulk
Functional: GGA-PBE
Structure: relaxed

Lattice parameters (Å, degrees): 3.9908 3.9908 24.4352 90.00 90.00 120.00
Space group R3m (No. 160, hexagonal axes)
Inequivalent atoms, fractional coordinates:
Y 0.0000 0.0000 0.0000
Y 0.0000 0.0000 0.1714
Al 0.0000 0.0000 0.5865
Te 0.0000 0.0000 0.4182

B:
Compound: Y2AlTe
Source: Alexandria via LeMat-Bulk
Functional: GGA-PBE
Structure: relaxed

Lattice parameters (Å, degrees): 4.950 4.950 8.403 90.00 90.00 90.00
Space group I4/mmm (No. 139)
Inequivalent atoms, fractional coordinates:
Y 0.000 0.500 0.250
Al 0.000 0.000 0.000
Te 0.000 0.000 0.500

C:
Compound: Y2AlTe
Source: Alexandria via LeMat-Bulk
Functional: GGA-PBE
Structure: relaxed

Lattice parameters (Å, degrees): 11.426 3.982 4.636 90.00 93.79 90.00
Space group Cm (No. 8)
Inequivalent atoms, fractional coordinates:
Y 0.000 0.000 0.000
Y 0.224 0.500 0.516
Al 0.257 0.000 0.018
Te 0.450 0.000 0.491

D:
Compound: Y2AlTe
Source: Alexandria via LeMat-Bulk
Functional: GGA-PBE
Structure: relaxed

Lattice parameters (Å, degrees): 8.137 8.137 6.754 90.00 90.00 90.00
Space group I-42d (No. 122)
Inequivalent atoms, fractional coordinates:
Y 0.247 0.250 0.125
Al 0.000 0.000 0.000
Te 0.000 0.000 0.500

Which one is most stable, and which one is least stable? A is the most stable of them, while D is the least stable.

A:
Compound: Y2Al2Te
Source: Alexandria via LeMat-Bulk
Functional: GGA-PBE
Structure: relaxed

Lattice parameters (Å, degrees): 7.936 7.936 4.357 90.00 90.00 90.00
Space group P4/mbm (No. 127)
Inequivalent atoms, fractional coordinates:
Y 0.170 0.330 0.000
Al 0.119 0.619 0.500
Te 0.000 0.000 0.000

B:
Compound: Y2Al2Te
Source: Alexandria via LeMat-Bulk
Functional: GGA-PBE
Structure: relaxed

Lattice parameters (Å, degrees): 7.676 7.676 4.217 90.00 90.00 90.00
Space group P4/mbm (No. 127)
Inequivalent atoms, fractional coordinates:
Y 0.174 0.326 0.000
Al 0.119 0.619 0.500
Te 0.000 0.000 0.500

Which one is most stable, and which one is least stable? B is the most stable of them, while A is the least stable.